Compound: DyZrBeCu
Source: Alexandria
Functional: PBE
Structure: relaxed

Cell lengths 6.6741, 6.6741, 6.6741 Å; angles 90.00, 90.00, 90.00 degrees
Space group F-43m (No. 216)
Symmetry-distinct sites (fractional):
Dy  0.0000  0.0000  0.0000 [4 per cell]
Zr  0.0000  0.0000  0.5000 [4 per cell]
Be  0.2500  0.2500  0.2500 [4 per cell]
Cu  0.2500  0.2500  0.7500 [4 per cell]

Output
Calculated volume: 18.6 Å³/atom
Energy of formation: 0.06 eV per formula unit
Calculated total energy: -83.64 eV for the cell shown


Compound: NdSi3Ru3
Source: Alexandria
Functional: PBE
Structure: relaxed

Cell lengths 6.4922, 6.4922, 6.4922 Å; angles 90.00, 90.00, 90.00 degrees
Space group Pm-3n (No. 223)
Symmetry-distinct sites (fractional):
Nd  0.0000  0.0000  0.0000 [2 per cell]
Si  0.0000  0.2500  0.5000 [6 per cell]
Ru  0.0000  0.5000  0.2500 [6 per cell]

Output
Calculated volume: 19.5 Å³/atom
Calculated total energy: -101.26 eV for the cell shown
E_form (uncorrected): -0.252 eV/atom
Offset from the most stable computed form: 1.40 eV per formula unit